Density functional theory data (PBE) for a relaxed Tb3Pm4In2 crystal.

Properties
- volume (Å³/atom) = 31.2
- total DFT energy (no corrections) (eV/atom) = -4.452
- energy relative to the elements (eV/atom) = -0.19
- symmetry = No. 2
- total moment (μB/f.u.) = 0.0

Structure (CIF):
```
data_Tb3Pm4In2
_chemical_formula_sum 'Tb3 Pm4 In2'
_symmetry_space_group_name_H-M 'P 1'
_symmetry_Int_Tables_number 1
_cell_length_a 5.390
_cell_length_b 6.831
_cell_length_c 8.595
_cell_angle_alpha 103.59
_cell_angle_beta 90.06
_cell_angle_gamma 113.22
loop_
_symmetry_equiv_pos_as_xyz
'x,y,z'
loop_
_atom_site_label
_atom_site_type_symbol
_atom_site_fract_x
_atom_site_fract_y
_atom_site_fract_z
Tb1 Tb 0.000 0.000 0.000
Tb2 Tb 0.421 0.842 0.649
Tb3 Tb 0.579 0.158 0.351
Pm1 Pm 0.118 0.236 0.657
Pm2 Pm 0.331 0.661 0.036
Pm3 Pm 0.669 0.339 0.964
Pm4 Pm 0.882 0.764 0.343
In1 In 0.208 0.416 0.318
In2 In 0.792 0.584 0.682
```

***

Density functional theory data (PBE) for a relaxed Tb4Pm15In crystal.

Properties
- volume (Å³/atom) = 33.1
- total DFT energy (no corrections) (eV/atom) = -4.663
- energy relative to the elements (eV/atom) = -0.04
- symmetry = No. 123
- total moment (μB/f.u.) = 0.0

Structure (CIF):
```
data_Tb4Pm15In
_chemical_formula_sum 'Tb4 Pm15 In1'
_symmetry_space_group_name_H-M 'P 1'
_symmetry_Int_Tables_number 1
_cell_length_a 5.081
_cell_length_b 5.081
_cell_length_c 25.672
_cell_angle_alpha 90.00
_cell_angle_beta 90.00
_cell_angle_gamma 90.00
loop_
_symmetry_equiv_pos_as_xyz
'x,y,z'
loop_
_atom_site_label
_atom_site_type_symbol
_atom_site_fract_x
_atom_site_fract_y
_atom_site_fract_z
Tb1 Tb 0.000 0.000 0.101
Tb2 Tb 0.000 0.000 0.302
Tb3 Tb 0.000 0.000 0.698
Tb4 Tb 0.000 0.000 0.899
Pm1 Pm 0.000 0.500 0.000
Pm2 Pm 0.000 0.500 0.202
Pm3 Pm 0.000 0.500 0.404
Pm4 Pm 0.000 0.500 0.596
Pm5 Pm 0.000 0.500 0.798
Pm6 Pm 0.500 0.000 0.000
Pm7 Pm 0.500 0.000 0.202
Pm8 Pm 0.500 0.000 0.404
Pm9 Pm 0.500 0.000 0.596
Pm10 Pm 0.500 0.000 0.798
Pm11 Pm 0.500 0.500 0.101
Pm12 Pm 0.500 0.500 0.303
Pm13 Pm 0.500 0.500 0.500
Pm14 Pm 0.500 0.500 0.697
Pm15 Pm 0.500 0.500 0.899
In1 In 0.000 0.000 0.500
```

***

Density functional theory data (PBE) for a relaxed Tb5Pm4In crystal.

Properties
- polymorph energy (0 for the lowest one) (eV per formula unit) = 0.76
- volume (Å³/atom) = 33.7
- total DFT energy (no corrections) (eV/atom) = -4.404
- energy relative to the elements (eV/atom) = 0.09
- symmetry = No. 107
- total moment (μB/f.u.) = 0.0

Structure (CIF):
```
data_Tb5Pm4In
_chemical_formula_sum 'Tb5 Pm4 In1'
_symmetry_space_group_name_H-M 'P 1'
_symmetry_Int_Tables_number 1
_cell_length_a 8.128
_cell_length_b 8.128
_cell_length_c 8.128
_cell_angle_alpha 97.49
_cell_angle_beta 97.49
_cell_angle_gamma 137.66
loop_
_symmetry_equiv_pos_as_xyz
'x,y,z'
loop_
_atom_site_label
_atom_site_type_symbol
_atom_site_fract_x
_atom_site_fract_y
_atom_site_fract_z
Tb1 Tb 0.000 0.000 0.000
Tb2 Tb 0.103 0.103 0.630
Tb3 Tb 0.103 0.473 0.000
Tb4 Tb 0.473 0.103 0.000
Tb5 Tb 0.473 0.473 0.370
Pm1 Pm 0.104 0.793 0.312
Pm2 Pm 0.481 0.793 0.688
Pm3 Pm 0.793 0.104 0.312
Pm4 Pm 0.793 0.481 0.688
In1 In 0.517 0.517 0.000
```

***

Density functional theory data (PBE) for a relaxed Tb9PmIn2 crystal.

Properties
- volume (Å³/atom) = 30.0
- total DFT energy (no corrections) (eV/atom) = -4.489
- energy relative to the elements (eV/atom) = -0.16
- symmetry = No. 123
- total moment (μB/f.u.) = 0.0

Structure (CIF):
```
data_Tb9PmIn2
_chemical_formula_sum 'Tb9 Pm1 In2'
_symmetry_space_group_name_H-M 'P 1'
_symmetry_Int_Tables_number 1
_cell_length_a 4.891
_cell_length_b 4.891
_cell_length_c 15.051
_cell_angle_alpha 90.00
_cell_angle_beta 90.00
_cell_angle_gamma 90.00
loop_
_symmetry_equiv_pos_as_xyz
'x,y,z'
loop_
_atom_site_label
_atom_site_type_symbol
_atom_site_fract_x
_atom_site_fract_y
_atom_site_fract_z
Tb1 Tb 0.000 0.000 0.000
Tb2 Tb 0.000 0.000 0.339
Tb3 Tb 0.000 0.000 0.661
Tb4 Tb 0.000 0.500 0.174
Tb5 Tb 0.000 0.500 0.500
Tb6 Tb 0.000 0.500 0.826
Tb7 Tb 0.500 0.000 0.174
Tb8 Tb 0.500 0.000 0.500
Tb9 Tb 0.500 0.000 0.826
Pm1 Pm 0.500 0.500 0.000
In1 In 0.500 0.500 0.339
In2 In 0.500 0.500 0.661
```